# 1
Entry from Alexandria via LeMat-Bulk: a relaxed structure of NaBi2OsS (PBE).

Properties
The final energy is -4.314 eV per atom. As for the crystal system: tetragonal. The uncorrected formation energy comes out at 277 kJ/mol of formula units. As for the total magnetic moment: 0.0 μB per cell.

```
5
Lattice="5.150 0.000 0.000 0.000 5.436 0.000 0.000 0.000 5.150" Properties=species:S:1:pos:R:3 pbc="T T T"
Bi 2.575 0.000 0.000
Os 0.000 0.000 0.000
S 2.575 2.718 2.575
Bi 0.000 0.000 2.575
Na 0.000 2.718 0.000
```



# 2
Entry from Alexandria via LeMat-Bulk: a relaxed structure of Nb2Al2Ga (PBE).

Properties
As for the energy above the most stable polymorph in this dataset: 0 meV per atom. The final energy is -6.423 eV per atom. For the formation energy, the calculation gives -0.292 eV/atom. As for the crystal system: monoclinic. As for the total magnetic moment: 0.0 μB per cell.

```
5
Lattice="-0.125 -3.667 0.213 1.233 -1.607 4.758 -4.514 -1.585 1.777" Properties=species:S:1:pos:R:3 pbc="T T T"
Ga 0.000 0.000 0.000
Nb -3.242 -3.381 3.314
Al -1.579 -1.688 1.723
Al -1.826 -5.171 5.025
Nb -0.163 -3.478 3.434
```



# 3
Entry from Alexandria via LeMat-Bulk: a relaxed structure of BaAcPr (PBE).

Properties
As for the energy above the most stable polymorph in this dataset: 40 meV per atom. The final energy is -3.504 eV per atom. For the formation energy, the calculation gives 0.100 eV/atom. As for the crystal system: trigonal. As for the total magnetic moment: 0.0 μB per cell.

```
3
Lattice="-1.131 -3.520 -1.504 1.847 0.159 3.534 -8.750 0.875 4.534" Properties=species:S:1:pos:R:3 pbc="T T T"
Pr -3.169 -1.990 1.746
Ba -0.058 0.006 0.030
Ac -4.807 -0.501 4.788
```



# 4
Entry from Alexandria via LeMat-Bulk: a relaxed structure of LiAgHgPt (PBE).

Properties
As for the energy above the most stable polymorph in this dataset: 0 meV per atom. The final energy is -3.031 eV per atom. For the formation energy, the calculation gives -0.254 eV/atom. As for the crystal system: tetragonal. As for the total magnetic moment: 0.0 μB per cell.

```
4
Lattice="4.184 0.000 0.000 0.000 4.184 0.000 -2.092 -2.092 3.916" Properties=species:S:1:pos:R:3 pbc="T T T"
Ag 2.092 0.000 1.958
Li 0.000 0.000 0.000
Hg 0.000 2.092 1.958
Pt 0.000 0.000 3.916
```



# 5
Entry from Alexandria via LeMat-Bulk: a relaxed structure of CuOs2Pt (PBE).

Properties
As for the energy above the most stable polymorph in this dataset: 18 meV per atom. The final energy is -8.043 eV per atom. For the formation energy, the calculation gives 0.106 eV/atom. As for the crystal system: orthorhombic. As for the total magnetic moment: 0.0 μB per cell.

```
4
Lattice="3.781 0.000 0.000 0.000 2.760 0.003 0.000 2.756 5.453" Properties=species:S:1:pos:R:3 pbc="T T T"
Cu 1.890 4.137 4.083
Os 0.000 2.758 0.059
Pt 0.000 2.760 2.808
Os 1.890 1.378 1.237
```



# 6
Entry from Alexandria via LeMat-Bulk: a relaxed structure of K3Cu2SbCl9 (PBE).

Properties
The final energy is -3.318 eV per atom. As for the crystal system: trigonal. The uncorrected formation energy comes out at -1693 kJ/mol of formula units. As for the total magnetic moment: 0.0 μB per cell.

```
15
Lattice="7.131 0.000 0.000 -3.566 6.176 0.000 0.000 0.000 8.868" Properties=species:S:1:pos:R:3 pbc="T T T"
Cu 0.000 4.117 1.294
Cl 1.836 1.060 5.992
Cl -1.730 5.116 2.876
K 0.000 0.000 0.000
Cl 3.566 4.056 5.992
Cl 3.566 0.000 0.000
K 3.566 2.059 2.612
Cl 1.730 5.116 2.876
Cl 1.783 3.088 0.000
K 0.000 4.117 6.256
Cl -1.783 3.088 0.000
Cl 0.000 2.120 2.876
Sb 0.000 0.000 4.434
Cu 3.566 2.059 7.574
Cl 5.295 1.060 5.992
```



# 7
Entry from Alexandria via LeMat-Bulk: a relaxed structure of Zn2FeBr (PBE).

Properties
As for the energy above the most stable polymorph in this dataset: 0 meV per atom. The final energy is -3.042 eV per atom. As for the crystal system: monoclinic. The uncorrected formation energy comes out at 50 kJ/mol of formula units. As for the total magnetic moment: 2.4 μB per cell.

```
4
Lattice="-1.549 1.642 -4.060 0.531 -0.698 -4.562 -4.678 -3.962 -0.916" Properties=species:S:1:pos:R:3 pbc="T T T"
Zn -1.100 0.793 -8.253
Br -2.810 -1.236 -5.884
Zn -4.709 -2.738 -6.750
Fe -0.946 -0.403 -2.039
```



# 8
Entry from Alexandria via LeMat-Bulk: a relaxed structure of Ac2Pm7Tm4 (PBE).

Properties
The final energy is -4.343 eV per atom. For the formation energy, the calculation gives 0.223 eV/atom. As for the crystal system: trigonal. As for the total magnetic moment: 0.0 μB per cell.

```
13
Lattice="-3.873 2.716 4.163 4.824 -3.518 2.015 7.717 10.697 0.201" Properties=species:S:1:pos:R:3 pbc="T T T"
Tm 2.884 5.986 3.547
Pm 4.808 0.260 1.311
Pm -0.651 4.172 2.659
Ac -0.974 0.638 3.447
Pm 6.534 7.726 4.032
Pm 2.134 2.169 2.347
Tm 4.680 6.487 0.122
Ac 1.925 -1.440 2.731
Pm 4.495 9.241 1.705
Tm 3.037 4.210 0.079
Tm 5.783 3.909 2.831
Pm 0.000 0.000 0.000
Pm 7.733 6.920 0.905
```